No. 1
# La3YZn2 (PBE, optimized geometry)
data_La3YZn2
_cell_length_a 5.3000
_cell_length_b 9.5439
_cell_length_c 6.8467
_cell_angle_alpha 90.00
_cell_angle_beta 90.00
_cell_angle_gamma 90.00
_symmetry_space_group_name_H-M 'P m c 21'
_symmetry_Int_Tables_number 26
loop_
_symmetry_equiv_pos_as_xyz
'x,y,z'
'-x,-y,z+1/2'
'-x,y,z'
'x,-y,z+1/2'
loop_
_atom_site_label
_atom_site_type_symbol
_atom_site_fract_x
_atom_site_fract_y
_atom_site_fract_z
La1 La 0.0000 0.0602 0.0000
La2 La 0.0000 0.3311 0.3153
La3 La 0.5000 0.1735 0.6747
Y1 Y 0.5000 0.4463 0.0104
Zn1 Zn 0.0000 0.3515 0.7829
Zn2 Zn 0.5000 0.1593 0.2172
# final energy = -50.13 eV per cell
# E_form = -0.212 eV per atom



No. 2
# ScMo2Se (PBE, optimized geometry)
data_ScMo2Se
_cell_length_a 5.3141
_cell_length_b 10.2651
_cell_length_c 3.3387
_cell_angle_alpha 90.00
_cell_angle_beta 128.31
_cell_angle_gamma 90.00
_symmetry_space_group_name_H-M 'C 1 2/m 1'
_symmetry_Int_Tables_number 12
loop_
_symmetry_equiv_pos_as_xyz
'x,y,z'
'-x,-y,-z'
'-x,y,-z'
'x,-y,z'
'x+1/2,y+1/2,z'
'-x+1/2,-y+1/2,-z'
'-x+1/2,y+1/2,-z'
'x+1/2,-y+1/2,z'
loop_
_atom_site_label
_atom_site_type_symbol
_atom_site_fract_x
_atom_site_fract_y
_atom_site_fract_z
Sc1 Sc 0.0000 0.0000 0.0000
Mo1 Mo 0.2500 0.2500 0.5000
Se1 Se 0.0000 0.5000 0.0000
# final energy = -62.84 eV per cell
# ΔE_f (raw) = 15 meV/atom



No. 3
# LiSm2CuSe4 (PBE, optimized geometry)
data_LiSm2CuSe4
_cell_length_a 6.8527
_cell_length_b 4.1105
_cell_length_c 7.2438
_cell_angle_alpha 90.00
_cell_angle_beta 112.79
_cell_angle_gamma 90.00
_symmetry_space_group_name_H-M 'P 1 2/m 1'
_symmetry_Int_Tables_number 10
loop_
_symmetry_equiv_pos_as_xyz
'x,y,z'
'-x,-y,-z'
'-x,y,-z'
'x,-y,z'
loop_
_atom_site_label
_atom_site_type_symbol
_atom_site_fract_x
_atom_site_fract_y
_atom_site_fract_z
Li1 Li 0.0000 0.0000 0.0000
Sm1 Sm 0.5000 0.0000 0.5000
Sm2 Sm 0.5000 0.5000 0.0000
Cu1 Cu 0.0000 0.5000 0.5000
Se1 Se 0.2282 0.0000 0.7318
Se2 Se 0.2386 0.5000 0.2371
# final energy = -40.25 eV per cell
# ΔE_f (raw) = -1357 meV/atom



No. 4
# Mg2Ga2SnIr5 (PBE, optimized geometry)
data_Mg2Ga2SnIr5
_cell_length_a 9.3976
_cell_length_b 9.3976
_cell_length_c 3.7157
_cell_angle_alpha 90.00
_cell_angle_beta 90.00
_cell_angle_gamma 90.00
_symmetry_space_group_name_H-M 'P 4/m b m'
_symmetry_Int_Tables_number 127
_symmetry_space_group_name_Hall '-P 4 2ab'
loop_
_atom_site_label
_atom_site_type_symbol
_atom_site_fract_x
_atom_site_fract_y
_atom_site_fract_z
Mg1 Mg 0.1711 0.3289 0.0000
Ga1 Ga 0.1265 0.6265 0.0000
Sn1 Sn 0.0000 0.0000 0.0000
Ir1 Ir 0.0000 0.5000 0.5000
Ir2 Ir 0.0784 0.7985 0.5000
# final energy = -120.41 eV per cell
# E_form = -0.265 eV per atom